Entry 1:
The following is a GGA-PBE calculation of a relaxed structure of NpHI4, from Alexandria.

Cell and atoms, written as POSCAR:
```
NpHI4
1.0
8.123 0.000 0.000
0.072 8.377 0.000
0.984 4.167 7.574
Np H I
2 2 8
direct
0.000 0.000 0.000
0.500 0.500 0.000
0.135 0.263 0.494
0.865 0.737 0.506
0.078 0.817 0.395
0.182 0.358 0.926
0.334 0.869 0.903
0.372 0.351 0.394
0.628 0.649 0.606
0.666 0.131 0.097
0.818 0.642 0.074
0.922 0.183 0.605
```

electronic total energy	-51.22	eV per cell
SG	No. 2

***

Entry 2:
The following is a GGA-PBE calculation of a relaxed structure of NpH2IO8, from Alexandria.

Cell and atoms, written as POSCAR:
```
NpH2IO8
1.0
4.849 0.000 0.000
-0.018 5.290 0.000
-0.885 -0.129 6.508
Np H I O
1 2 1 8
direct
0.000 0.000 0.000
0.437 0.232 0.598
0.563 0.768 0.402
0.000 0.000 0.500
0.194 0.844 0.735
0.219 0.850 0.309
0.242 0.255 0.017
0.247 0.286 0.535
0.753 0.714 0.465
0.758 0.745 0.983
0.781 0.150 0.691
0.806 0.156 0.265
```

electronic total energy	-74.16	eV per cell
SG	No. 2

***

Entry 3:
The following is a GGA-PBE calculation of a relaxed structure of Np2H2SI, from Alexandria.

Cell and atoms, written as POSCAR:
```
Np2H2SI
1.0
3.875 0.000 0.000
-1.937 3.356 0.000
0.000 0.000 8.436
Np H S I
2 2 1 1
direct
0.333 0.667 0.202
0.667 0.333 0.798
0.333 0.667 0.765
0.667 0.333 0.235
0.000 0.000 0.000
0.000 0.000 0.500
```

electronic total energy	-42.44	eV per cell
SG	No. 164

***

Entry 4:
The following is a GGA-PBE calculation of a relaxed structure of NpTeHI, from Alexandria.

Cell and atoms, written as POSCAR:
```
NpTeHI
1.0
3.427 -1.978 0.000
3.427 1.978 0.000
-2.298 0.000 7.825
Np Te H I
1 1 1 1
direct
0.000 0.000 0.000
0.753 0.753 0.257
0.331 0.331 0.992
0.573 0.573 0.721
```

electronic total energy	-23.28	eV per cell
SG	No. 8

***

Entry 5:
The following is a GGA-PBE calculation of a relaxed structure of HOsIO2, from Alexandria.

Cell and atoms, written as POSCAR:
```
HOsIO2
1.0
4.050 0.000 0.000
0.000 4.050 0.000
0.000 0.000 3.455
H Os I O
1 1 1 2
direct
0.000 0.000 0.000
0.500 0.500 0.500
0.000 0.000 0.500
0.000 0.500 0.000
0.500 0.000 0.000
```

SG	No. 123
excess energy over the best structure of this formula in the dataset	1490.0	meV/atom

***

Entry 6:
The following is a GGA-PBE calculation of a relaxed structure of HOsIO2, from Alexandria.

Cell and atoms, written as POSCAR:
```
HOsIO2
1.0
3.742 0.000 0.000
0.000 3.742 0.000
0.000 0.000 5.818
H Os I O
1 1 1 2
direct
0.000 0.000 0.000
0.500 0.500 0.500
0.500 0.500 0.000
0.000 0.500 0.500
0.500 0.000 0.500
```

SG	No. 123
excess energy over the best structure of this formula in the dataset	0.0	meV/atom

***

Entry 7:
The following is a GGA-PBE calculation of a relaxed structure of PaH2IO8, from Alexandria.

Cell and atoms, written as POSCAR:
```
PaH2IO8
1.0
2.576 -3.715 0.000
2.576 3.715 0.000
-0.172 0.000 7.203
Pa H I O
1 2 1 8
direct
0.000 0.000 0.000
0.448 0.448 0.688
0.552 0.552 0.312
0.000 0.000 0.500
0.228 0.228 0.297
0.248 0.752 0.500
0.255 0.255 0.711
0.264 0.736 0.000
0.736 0.264 0.000
0.745 0.745 0.289
0.752 0.248 0.500
0.772 0.772 0.703
```

electronic total energy	-69.35	eV per cell
SG	No. 12

***

Entry 8:
The following is a GGA-PBE calculation of a relaxed structure of HPb2I2O2, from Alexandria.

Cell and atoms, written as POSCAR:
```
HPb2I2O2
1.0
4.640 -2.015 0.000
4.640 2.015 0.000
-0.849 0.000 9.622
H Pb I O
1 2 2 2
direct
0.000 0.000 0.000
0.309 0.309 0.155
0.691 0.691 0.845
0.372 0.372 0.654
0.628 0.628 0.346
0.127 0.127 0.972
0.873 0.873 0.028
```

electronic total energy	-29.20	eV per cell
SG	No. 12

***

Entry 9:
The following is a GGA-PBE calculation of a relaxed structure of HPbI2O, from Alexandria.

Cell and atoms, written as POSCAR:
```
HPbI2O
1.0
6.568 0.000 0.000
0.000 6.568 0.000
0.000 0.000 2.946
H Pb I O
1 1 2 1
direct
0.000 0.000 0.000
0.500 0.500 0.500
0.000 0.500 0.000
0.500 0.000 0.000
0.000 0.000 0.500
```

SG	No. 123
excess energy over the best structure of this formula in the dataset	0.0	meV/atom

***

Entry 10:
The following is a GGA-PBE calculation of a relaxed structure of HPbI2O, from Alexandria.

Cell and atoms, written as POSCAR:
```
HPbI2O
1.0
6.390 0.000 0.000
0.000 6.390 0.000
0.000 0.000 4.152
H Pb I O
1 1 2 1
direct
0.000 0.000 0.000
0.500 0.500 0.500
0.000 0.500 0.500
0.500 0.000 0.500
0.500 0.500 0.000
```

SG	No. 123
excess energy over the best structure of this formula in the dataset	52.6	meV/atom

***

Entry 11:
The following is a GGA-PBE calculation of a relaxed structure of HPbIO, from Alexandria.

Cell and atoms, written as POSCAR:
```
HPbIO
1.0
7.964 0.000 0.000
0.000 4.246 0.000
0.000 0.000 10.762
H Pb I O
4 4 4 4
direct
0.191 0.250 0.106
0.309 0.750 0.606
0.691 0.250 0.394
0.809 0.750 0.894
0.180 0.750 0.919
0.320 0.250 0.419
0.680 0.750 0.581
0.820 0.250 0.081
0.054 0.250 0.679
0.446 0.750 0.179
0.554 0.250 0.821
0.946 0.750 0.321
0.116 0.250 0.033
0.384 0.750 0.533
0.616 0.250 0.467
0.884 0.750 0.967
```

SG	No. 62
excess energy over the best structure of this formula in the dataset	0.0	meV/atom

***

Entry 12:
The following is a GGA-PBE calculation of a relaxed structure of HPbIO, from Alexandria.

Cell and atoms, written as POSCAR:
```
HPbIO
1.0
4.264 0.000 0.000
-2.132 3.693 0.000
0.000 0.000 5.935
H Pb I O
1 1 1 1
direct
0.000 0.000 0.000
0.667 0.333 0.711
0.333 0.667 0.331
0.000 0.000 0.835
```

SG	No. 156
excess energy over the best structure of this formula in the dataset	52.2	meV/atom

***

Entry 13:
The following is a GGA-PBE calculation of a relaxed structure of PmH2IO2, from Alexandria.

Cell and atoms, written as POSCAR:
```
PmH2IO2
1.0
7.542 0.000 0.000
0.000 4.202 0.000
-3.378 0.000 7.185
Pm H I O
2 4 2 4
direct
0.203 0.250 0.060
0.797 0.750 0.940
0.290 0.065 0.466
0.290 0.435 0.466
0.710 0.565 0.534
0.710 0.935 0.534
0.291 0.750 0.760
0.709 0.250 0.240
0.120 0.750 0.112
0.308 0.250 0.400
0.692 0.750 0.600
0.880 0.250 0.888
```

electronic total energy	-67.25	eV per cell
SG	No. 11

***

Entry 14:
The following is a GGA-PBE calculation of a relaxed structure of PrH2IO2, from Alexandria.

Cell and atoms, written as POSCAR:
```
PrH2IO2
1.0
7.678 0.000 0.000
0.000 4.259 0.000
-3.417 0.000 7.234
Pr H I O
2 4 2 4
direct
0.204 0.250 0.060
0.796 0.750 0.940
0.293 0.067 0.470
0.293 0.433 0.470
0.707 0.567 0.530
0.707 0.933 0.530
0.291 0.750 0.758
0.709 0.250 0.242
0.119 0.750 0.112
0.311 0.250 0.405
0.689 0.750 0.595
0.881 0.250 0.888
```

electronic total energy	-67.07	eV per cell
SG	No. 11

***

Entry 15:
The following is a GGA-PBE calculation of a relaxed structure of HPtI2O, from Alexandria.

Cell and atoms, written as POSCAR:
```
HPtI2O
1.0
5.541 0.000 0.000
0.000 5.541 0.000
0.000 0.000 2.837
H Pt I O
1 1 2 1
direct
0.000 0.000 0.000
0.500 0.500 0.500
0.000 0.500 0.000
0.500 0.000 0.000
0.000 0.000 0.500
```

SG	No. 123
excess energy over the best structure of this formula in the dataset	83.7	meV/atom

***

Entry 16:
The following is a GGA-PBE calculation of a relaxed structure of HPtI2O, from Alexandria.

Cell and atoms, written as POSCAR:
```
HPtI2O
1.0
5.830 0.000 0.000
0.000 5.830 0.000
0.000 0.000 3.730
H Pt I O
1 1 2 1
direct
0.000 0.000 0.000
0.500 0.500 0.500
0.000 0.500 0.500
0.500 0.000 0.500
0.500 0.500 0.000
```

SG	No. 123
excess energy over the best structure of this formula in the dataset	0.0	meV/atom

***

Entry 17:
The following is a GGA-PBE calculation of a relaxed structure of HPtI2O, from Alexandria.

Cell and atoms, written as POSCAR:
```
HPtI2O
1.0
7.098 0.000 0.000
0.000 7.098 0.000
0.000 0.000 3.556
H Pt I O
1 1 2 1
direct
0.000 0.000 0.000
0.500 0.500 0.000
0.000 0.500 0.500
0.500 0.000 0.500
0.500 0.500 0.500
```

SG	No. 123
excess energy over the best structure of this formula in the dataset	311.1	meV/atom

***

Entry 18:
The following is a GGA-PBE calculation of a relaxed structure of PuH2IO6, from Alexandria.

Cell and atoms, written as POSCAR:
```
PuH2IO6
1.0
5.115 0.000 0.000
-2.274 4.793 0.000
-1.504 -0.782 5.693
Pu H I O
1 2 1 6
direct
0.000 0.000 0.000
0.446 0.405 0.761
0.554 0.595 0.239
0.000 0.500 0.500
0.127 0.345 0.240
0.227 0.314 0.749
0.337 0.980 0.155
0.663 0.020 0.845
0.773 0.686 0.251
0.873 0.655 0.760
```

electronic total energy	-65.42	eV per cell
SG	No. 2

***

Entry 19:
The following is a GGA-PBE calculation of a relaxed structure of Rb2HIO, from Alexandria.

Cell and atoms, written as POSCAR:
```
Rb2HIO
1.0
5.744 0.000 0.000
0.000 5.744 0.000
0.000 0.000 5.042
Rb H I O
2 1 1 1
direct
0.000 0.500 0.000
0.500 0.000 0.000
0.000 0.000 0.269
0.500 0.500 0.508
0.000 0.000 0.075
```

electronic total energy	-18.59	eV per cell
SG	No. 99

***

Entry 20:
The following is a GGA-PBE calculation of a relaxed structure of RbHI2O, from Alexandria.

Cell and atoms, written as POSCAR:
```
RbHI2O
1.0
7.243 0.000 0.000
0.000 7.243 0.000
0.000 0.000 5.754
Rb H I O
1 1 2 1
direct
0.000 0.000 0.000
0.500 0.500 0.500
0.000 0.500 0.000
0.500 0.000 0.000
0.000 0.000 0.500
```

SG	No. 123
excess energy over the best structure of this formula in the dataset	334.9	meV/atom